Below is a geometry-optimized Cs2Na6Pb structure, with properties calculated at the PBE level.

Summary:
- VASP energy: -1.508 eV per atom
- Density: 2.5 g/cm3
- Symmetry: C2/m, No. 12
- Energy relative to the elements: -0.027 eV/atom

a b c (Å): 7.5820 7.5913 8.1645
angles (deg): 90.28 90.00 119.96
Last column: nearest neighbours and their distance in Å.
Fractional coordinates of all 9 atoms:
Cs 0.3326 0.6652 0.8743  9 Na 4.11-4.28, 3 Pb 4.50
Cs 0.6674 0.3348 0.1257  9 Na 4.11-4.28, 3 Pb 4.50
Na 0.6762 0.8400 0.3183  1 Pb 3.36, 4 Na 3.63-3.70
Na 0.1638 0.3276 0.3204  1 Pb 3.38, 4 Na 3.66-3.70
Na 0.1638 0.8400 0.3183  1 Pb 3.36, 4 Na 3.63-3.70
Na 0.3238 0.1600 0.6817  1 Pb 3.36, 4 Na 3.63-3.70
Na 0.8362 0.6724 0.6796  1 Pb 3.38, 4 Na 3.66-3.70
Na 0.8362 0.1600 0.6817  1 Pb 3.36, 4 Na 3.63-3.70
Pb 0.0000 0.0000 0.0000  6 Na 3.36-3.38


Below is a geometry-optimized CdGe2PbSe6 structure, with properties calculated at the PBE level.

Summary:
- VASP energy: -3.790 eV per atom
- Density: 5.2 g/cm3
- Symmetry: C2/c, No. 15
- Formation energy (no corrections): -0.313 eV/atom

a b c (Å): 7.0891 9.4568 9.4568
angles (deg): 88.26 76.70 76.70
Last column: nearest neighbours and their distance in Å.
Fractional coordinates of all 20 atoms:
Cd 0.2500 0.2603 0.7397  2 Se 2.59
Cd 0.7500 0.7397 0.2603  2 Se 2.59
Ge 0.2752 0.7735 0.6278  4 Se 2.38-2.44
Ge 0.2248 0.3722 0.2265  4 Se 2.38-2.44
Ge 0.7248 0.2265 0.3722  4 Se 2.38-2.44
Ge 0.7752 0.6278 0.7735  4 Se 2.38-2.44
Pb 0.2500 0.8810 0.1190  6 Se 3.05-3.12
Pb 0.7500 0.1190 0.8810  6 Se 3.05-3.12
Se 0.1887 0.9614 0.8096  1 Ge 2.38
Se 0.3113 0.1904 0.0386  1 Ge 2.38
Se 0.8113 0.0386 0.1904  1 Ge 2.38
Se 0.6887 0.8096 0.9614  1 Ge 2.38
Se 0.4023 0.8797 0.4033  1 Ge 2.39, 1 Cd 2.59
Se 0.0977 0.5967 0.1203  1 Ge 2.39, 1 Cd 2.59
Se 0.5977 0.1203 0.5967  1 Ge 2.39, 1 Cd 2.59
Se 0.9023 0.4033 0.8797  1 Ge 2.39, 1 Cd 2.59
Se 0.0032 0.6916 0.5633  2 Ge 2.41-2.44
Se 0.4968 0.4367 0.3084  2 Ge 2.41-2.44
Se 0.9968 0.3084 0.4367  2 Ge 2.41-2.44
Se 0.5032 0.5633 0.6916  2 Ge 2.41-2.44


Below is a geometry-optimized Bi2PPd3 structure, with properties calculated at the PBE level.

Summary:
- VASP energy: -5.072 eV per atom
- Density: 10.0 g/cm3
- Symmetry: C2/c, No. 15
- Energy relative to the elements: -0.281 eV/atom

a b c (Å): 5.5960 6.9692 6.9692
angles (deg): 70.45 88.85 88.85
Last column: nearest neighbours and their distance in Å.
Fractional coordinates of all 12 atoms:
Bi 0.7405 0.1552 0.4967  5 Pd 2.74-3.05
Bi 0.2405 0.4967 0.1552  5 Pd 2.74-3.05
Bi 0.7595 0.5033 0.8448  5 Pd 2.74-3.05
Bi 0.2595 0.8448 0.5033  5 Pd 2.74-3.05
P 0.7500 0.8474 0.1526  5 Pd 2.28-2.37
P 0.2500 0.1526 0.8474  5 Pd 2.28-2.37
Pd 0.2500 0.4360 0.5640  1 P 2.28
Pd 0.7500 0.5640 0.4360  1 P 2.28
Pd 0.0027 0.8757 0.8674  2 P 2.36-2.37
Pd 0.4973 0.1326 0.1243  2 P 2.36-2.37
Pd 0.5027 0.8674 0.8757  2 P 2.36-2.37
Pd 0.9973 0.1243 0.1326  2 P 2.36-2.37


Below is a geometry-optimized K2RePt structure, with properties calculated at the PBE level.

Summary:
- VASP energy: -4.216 eV per atom
- Density: 9.4 g/cm3
- Symmetry: C2/m, No. 12
- Energy relative to the elements: 0.955 eV/atom

a b c (Å): 6.4158 6.4158 2.7936
angles (deg): 78.45 78.45 127.46
Last column: nearest neighbours and their distance in Å.
Fractional coordinates of all 4 atoms:
K 0.0000 0.0000 0.0000  6 K 2.79-2.95
K 0.5000 0.5000 0.0000  6 K 2.79-2.95
Pt 0.5000 0.0000 0.5000  2 Pt 2.79, 4 Re 2.84-2.95
Re 0.0000 0.5000 0.5000  2 Re 2.79, 4 Pt 2.84-2.95


- Which of these has the lowest density?
  Cs2Na6Pb


- Which value of VASP energy does entry 4 give?
  -4.216 eV per atom


- density of number 4 (K2RePt)?
  9.4 g/cm3